In3Ag5 | PBE | optimized geometry

abc: 5.949 5.949 9.457
angles: 90.00 90.00 107.20
Atoms (fractional coordinates):
In1 0.772 0.228 0.500
In2 0.446 0.446 0.250
In3 0.228 0.772 0.500
In4 0.554 0.554 0.750
In5 0.772 0.228 0.000
In6 0.228 0.772 0.000
Ag1 0.966 0.518 0.250
Ag2 0.273 0.273 0.973
Ag3 0.727 0.727 0.473
Ag4 0.727 0.727 0.027
Ag5 0.273 0.273 0.527
Ag6 0.966 0.966 0.750
Ag7 0.034 0.482 0.750
Ag8 0.034 0.034 0.250
Ag9 0.518 0.966 0.250
Ag10 0.482 0.034 0.750

Summary:
Offset from the most stable computed form, meV per atom: 11